VASP calculation (PBE-GGA) on a relaxed AcLuPu crystal.

a b c (Å): 5.567 5.567 5.567
angles (deg): 60.00 60.00 60.00
Sites, in units of the cell vectors:
Ac 0.000 0.000 0.000
Lu 0.250 0.250 0.250
Pu 0.500 0.500 0.500

Summary:
- space-group type = F-43m, No. 216
- ΔE_f (meV/atom) = 782
- DFT total energy (eV/atom) = -6.803
- V (Å³ per cell) = 122.0
- energy above the lowest structure with this stoichiometry (meV/atom) = 0.0


VASP calculation (PBE-GGA) on a relaxed RbAcLu crystal.

a b c (Å): 6.176 6.176 6.176
angles (deg): 60.00 60.00 60.00
Sites, in units of the cell vectors:
Rb 0.000 0.000 0.000
Ac 0.500 0.500 0.500
Lu 0.750 0.750 0.750

Summary:
- space-group type = F-43m, No. 216
- DFT total energy (eV/atom) = -2.146
- V (Å³ per cell) = 166.6


VASP calculation (PBE-GGA) on a relaxed AcLuSb crystal.

a b c (Å): 5.304 5.304 5.304
angles (deg): 60.00 60.00 60.00
Sites, in units of the cell vectors:
Ac 0.000 0.000 0.000
Lu 0.500 0.500 0.500
Sb 0.750 0.750 0.750

Summary:
- space-group type = F-43m, No. 216
- DFT total energy (eV/atom) = -4.613
- V (Å³ per cell) = 105.5
- energy above the lowest structure with this stoichiometry (meV/atom) = 0.0


VASP calculation (PBE-GGA) on a relaxed AcLuSc crystal.

a b c (Å): 5.427 5.427 5.427
angles (deg): 60.00 60.00 60.00
Sites, in units of the cell vectors:
Ac 0.000 0.000 0.000
Lu 0.500 0.500 0.500
Sc 0.250 0.250 0.250

Summary:
- space-group type = F-43m, No. 216
- ΔE_f (meV/atom) = 677
- DFT total energy (eV/atom) = -4.309
- V (Å³ per cell) = 113.0
- energy above the lowest structure with this stoichiometry (meV/atom) = 0.0


VASP calculation (PBE-GGA) on a relaxed AcLuSc crystal.

a b c (Å): 5.447 5.447 5.447
angles (deg): 60.00 60.00 60.00
Sites, in units of the cell vectors:
Ac 0.000 0.000 0.000
Lu 0.750 0.750 0.750
Sc 0.250 0.250 0.250

Summary:
- space-group type = F-43m, No. 216
- ΔE_f (meV/atom) = 943
- DFT total energy (eV/atom) = -4.043
- V (Å³ per cell) = 114.3
- energy above the lowest structure with this stoichiometry (meV/atom) = 265.9


VASP calculation (PBE-GGA) on a relaxed AcLuTa crystal.

a b c (Å): 5.195 5.195 5.195
angles (deg): 60.00 60.00 60.00
Sites, in units of the cell vectors:
Ac 0.000 0.000 0.000
Lu 0.750 0.750 0.750
Ta 0.250 0.250 0.250

Summary:
- space-group type = F-43m, No. 216
- ΔE_f (meV/atom) = 1545
- DFT total energy (eV/atom) = -5.283
- V (Å³ per cell) = 99.2
- energy above the lowest structure with this stoichiometry (meV/atom) = 260.2


VASP calculation (PBE-GGA) on a relaxed AcLuTa crystal.

a b c (Å): 5.187 5.187 5.187
angles (deg): 60.00 60.00 60.00
Sites, in units of the cell vectors:
Ac 0.000 0.000 0.000
Lu 0.250 0.250 0.250
Ta 0.500 0.500 0.500

Summary:
- space-group type = F-43m, No. 216
- ΔE_f (meV/atom) = 1284
- DFT total energy (eV/atom) = -5.543
- V (Å³ per cell) = 98.7
- energy above the lowest structure with this stoichiometry (meV/atom) = 0.0


VASP calculation (PBE-GGA) on a relaxed AcTbLu crystal.

a b c (Å): 5.595 5.595 5.595
angles (deg): 60.00 60.00 60.00
Sites, in units of the cell vectors:
Ac 0.000 0.000 0.000
Tb 0.500 0.500 0.500
Lu 0.250 0.250 0.250

Summary:
- space-group type = F-43m, No. 216
- ΔE_f (meV/atom) = 672
- DFT total energy (eV/atom) = -3.748
- V (Å³ per cell) = 123.8
- energy above the lowest structure with this stoichiometry (meV/atom) = 0.0


VASP calculation (PBE-GGA) on a relaxed AcLuTe crystal.

a b c (Å): 5.361 5.361 5.361
angles (deg): 60.00 60.00 60.00
Sites, in units of the cell vectors:
Ac 0.000 0.000 0.000
Lu 0.500 0.500 0.500
Te 0.250 0.250 0.250

Summary:
- space-group type = F-43m, No. 216
- DFT total energy (eV/atom) = -4.272
- V (Å³ per cell) = 108.9
- energy above the lowest structure with this stoichiometry (meV/atom) = 0.0


VASP calculation (PBE-GGA) on a relaxed AcLuTe crystal.

a b c (Å): 5.556 5.556 5.556
angles (deg): 60.00 60.00 60.00
Sites, in units of the cell vectors:
Ac 0.000 0.000 0.000
Lu 0.250 0.250 0.250
Te 0.750 0.750 0.750

Summary:
- space-group type = F-43m, No. 216
- DFT total energy (eV/atom) = -3.739
- V (Å³ per cell) = 121.3
- energy above the lowest structure with this stoichiometry (meV/atom) = 533.5


VASP calculation (PBE-GGA) on a relaxed AcLuW crystal.

a b c (Å): 5.048 5.048 5.048
angles (deg): 60.00 60.00 60.00
Sites, in units of the cell vectors:
Ac 0.000 0.000 0.000
Lu 0.250 0.250 0.250
W 0.500 0.500 0.500

Summary:
- space-group type = F-43m, No. 216
- ΔE_f (meV/atom) = 1445
- DFT total energy (eV/atom) = -5.752
- V (Å³ per cell) = 90.9


VASP calculation (PBE-GGA) on a relaxed AcLuZr crystal.

a b c (Å): 5.390 5.390 5.390
angles (deg): 60.00 60.00 60.00
Sites, in units of the cell vectors:
Ac 0.000 0.000 0.000
Lu 0.750 0.750 0.750
Zr 0.250 0.250 0.250

Summary:
- space-group type = F-43m, No. 216
- ΔE_f (meV/atom) = 1130
- DFT total energy (eV/atom) = -4.596
- V (Å³ per cell) = 110.7
- energy above the lowest structure with this stoichiometry (meV/atom) = 359.7